Li5Mn2CoO8 after structural relaxation, computed with GGA+U.

Cell: 5.112 5.112 10.289 Å, 81.22 81.22 32.88°
Fractional coordinates of all 16 atoms:
Li 0.245 0.245 0.129
Li 0.746 0.746 0.395
Li 0.269 0.269 0.612
Li 0.751 0.751 0.857
Li 0.000 0.000 0.501
Mn 0.996 0.996 0.000
Mn 0.493 0.493 0.259
Co 0.514 0.514 0.723
O 0.383 0.383 0.954
O 0.888 0.888 0.185
O 0.382 0.382 0.417
O 0.885 0.885 0.693
O 0.108 0.108 0.301
O 0.630 0.630 0.572
O 0.106 0.106 0.834
O 0.603 0.603 0.067

Properties
total magnetic moment: 10.00 Bohr magnetons per cell
total DFT energy (no corrections): -95.68 eV/cell